(1)
VASP calculation (PBE) on crystalline CuSb3Pt12 at its relaxed geometry.

abc: 4.0410 4.0410 16.2423
angles: 90.00 90.00 90.00
With the nearest neighbours (Å) after each atom.
Atoms (fractional coordinates):
1 Cu 0.0000 0.0000 0.0000  12 Pt 2.77-2.86
2 Sb 0.0000 0.0000 0.2312  8 Pt 2.75-2.88
3 Sb 0.0000 0.0000 0.5000  12 Pt 2.86-2.87
4 Sb 0.0000 0.0000 0.7688  8 Pt 2.75-2.88
5 Pt 0.0000 0.5000 0.1163  2 Sb 2.75, 2 Cu 2.77, 8 Pt 2.77-2.99
6 Pt 0.0000 0.5000 0.3747  8 Pt 2.84-2.87, 4 Sb 2.87-3.08
7 Pt 0.0000 0.5000 0.6253  8 Pt 2.84-2.87, 4 Sb 2.87-3.08
8 Pt 0.0000 0.5000 0.8837  2 Sb 2.75, 2 Cu 2.77, 8 Pt 2.77-2.99
9 Pt 0.5000 0.0000 0.1163  2 Sb 2.75, 2 Cu 2.77, 8 Pt 2.77-2.99
10 Pt 0.5000 0.0000 0.3747  8 Pt 2.84-2.87, 4 Sb 2.87-3.08
11 Pt 0.5000 0.0000 0.6253  8 Pt 2.84-2.87, 4 Sb 2.87-3.08
12 Pt 0.5000 0.0000 0.8837  2 Sb 2.75, 2 Cu 2.77, 8 Pt 2.77-2.99
13 Pt 0.5000 0.5000 0.0000  8 Pt 2.77, 4 Cu 2.86
14 Pt 0.5000 0.5000 0.2521  8 Pt 2.84-2.99, 4 Sb 2.88
15 Pt 0.5000 0.5000 0.5000  4 Sb 2.86, 8 Pt 2.87
16 Pt 0.5000 0.5000 0.7479  8 Pt 2.84-2.99, 4 Sb 2.88

Computed properties:
Energy relative to the elements, uncorrected ... -2.96 eV per formula unit

=====

(2)
VASP calculation (PBE) on crystalline CaAc4Mg2 at its relaxed geometry.

abc: 8.1735 8.1735 8.6565
angles: 90.00 90.00 90.00
With the nearest neighbours (Å) after each atom.
Atoms (fractional coordinates):
1 Ca 0.0000 0.0000 0.0000  8 Ac 3.61
2 Ca 0.5000 0.5000 0.5000  8 Ac 3.61
3 Ac 0.2500 0.2500 0.2500  4 Mg 3.61, 2 Ca 3.61
4 Ac 0.2500 0.2500 0.7500  4 Mg 3.61, 2 Ca 3.61
5 Ac 0.2500 0.7500 0.2500  4 Mg 3.61, 2 Ca 3.61
6 Ac 0.2500 0.7500 0.7500  4 Mg 3.61, 2 Ca 3.61
7 Ac 0.7500 0.2500 0.2500  4 Mg 3.61, 2 Ca 3.61
8 Ac 0.7500 0.2500 0.7500  4 Mg 3.61, 2 Ca 3.61
9 Ac 0.7500 0.7500 0.2500  2 Ca 3.61, 4 Mg 3.61
10 Ac 0.7500 0.7500 0.7500  2 Ca 3.61, 4 Mg 3.61
11 Mg 0.0000 0.5000 0.0000  8 Ac 3.61
12 Mg 0.0000 0.5000 0.5000  8 Ac 3.61
13 Mg 0.5000 0.0000 0.0000  8 Ac 3.61
14 Mg 0.5000 0.0000 0.5000  8 Ac 3.61

Computed properties:
E_tot ... -41.09 eV for the cell shown

=====

(3)
VASP calculation (PBE) on crystalline Al2Cr2Tc at its relaxed geometry.

abc: 6.7276 6.7276 3.0418
angles: 90.00 90.00 90.00
With the nearest neighbours (Å) after each atom.
Atoms (fractional coordinates):
1 Al 0.1346 0.3654 0.0000  6 Cr 2.44-2.53, 1 Al 2.56, 2 Tc 2.62
2 Al 0.3654 0.8654 0.0000  6 Cr 2.44-2.53, 1 Al 2.56, 2 Tc 2.62
3 Al 0.6346 0.1346 0.0000  6 Cr 2.44-2.53, 1 Al 2.56, 2 Tc 2.62
4 Al 0.8654 0.6346 0.0000  6 Cr 2.44-2.53, 1 Al 2.56, 2 Tc 2.62
5 Cr 0.1645 0.6645 0.5000  6 Al 2.44-2.53
6 Cr 0.3355 0.1645 0.5000  6 Al 2.44-2.53
7 Cr 0.6645 0.8355 0.5000  6 Al 2.44-2.53
8 Cr 0.8355 0.3355 0.5000  6 Al 2.44-2.53
9 Tc 0.0000 0.0000 0.0000  4 Al 2.62
10 Tc 0.5000 0.5000 0.0000  4 Al 2.62

Computed properties:
E_tot ... -72.91 eV for the cell shown

=====

(4)
VASP calculation (PBE) on crystalline LiCa2HPt at its relaxed geometry.

abc: 4.9357 4.9357 3.9391
angles: 90.00 90.00 90.00
With the nearest neighbours (Å) after each atom.
Atoms (fractional coordinates):
1 Li 0.0000 0.0000 0.0000  8 Ca 3.16, 4 Pt 3.49
2 Ca 0.0000 0.5000 0.5000  2 H 2.47
3 Ca 0.5000 0.0000 0.5000  2 H 2.47
4 H 0.5000 0.5000 0.5000  2 Pt 1.97
5 Pt 0.5000 0.5000 0.0000  2 H 1.97

Computed properties:
Offset from the most stable computed form ... 0.49 eV per formula unit